# Ba2NpAlS5

A relaxed structure of Ba2NpAlS5 (PBE, Alexandria). Values from VASP.

Geometry as Quantum ESPRESSO input:
```
&SYSTEM
  ibrav = 0, nat = 18, ntyp = 4
/
ATOMIC_SPECIES
Ba 137.33 Ba.upf
Np 237.00 Np.upf
Al 26.98 Al.upf
S 32.06 S.upf
ATOMIC_POSITIONS crystal
Ba 0.872 0.743 0.833
Ba 0.118 0.236 0.685
Ba 0.128 0.257 0.333
Ba 0.882 0.764 0.185
Np 0.801 0.601 0.530
Np 0.199 0.399 0.030
Al 0.557 0.114 0.924
Al 0.443 0.886 0.424
S 0.346 0.692 0.012
S 0.680 0.359 0.882
S 0.498 0.997 0.777
S 0.298 0.595 0.668
S 0.962 0.924 0.513
S 0.654 0.308 0.512
S 0.320 0.641 0.382
S 0.502 0.003 0.277
S 0.702 0.405 0.168
S 0.038 0.076 0.013
CELL_PARAMETERS angstrom
4.087 0.000 0.000
-2.043 9.092 0.000
0.000 0.000 13.173
```

The density of states at the Fermi level is 8.0 states/eV/f.u. The uncorrected formation energy is -1.63 eV/atom. Its crystal system is orthorhombic.